Record 1
PBEsol Sr3Co2WO9, optimized geometry; energy relative to the elements, uncorrected = -2.178 eV/atom; DFT total energy = -114.72 eV per formula unit; SG = Immm, No. 71; density of states at the Fermi level = 13.63 states/eV/cell
1.0
-2.740 3.778 8.245
2.740 -3.778 8.245
2.740 3.778 -8.245
Sr Co W O
6 4 2 18
Direct
0.081 0.341 0.740 Sr
0.232 0.000 0.232 Sr
0.399 0.659 0.740 Sr
0.601 0.341 0.260 Sr
0.768 0.000 0.768 Sr
0.919 0.659 0.260 Sr
0.000 0.500 0.500 Co
0.167 0.167 0.000 Co
0.500 0.500 0.000 Co
0.833 0.833 0.000 Co
0.332 0.832 0.500 W
0.668 0.168 0.500 W
0.079 0.831 0.247 O
0.086 0.331 0.245 O
0.086 0.841 0.755 O
0.249 0.499 0.250 O
0.249 0.999 0.750 O
0.256 0.500 0.756 O
0.413 0.159 0.745 O
0.413 0.668 0.255 O
0.416 0.169 0.247 O
0.584 0.831 0.753 O
0.587 0.332 0.745 O
0.587 0.841 0.255 O
0.744 0.500 0.244 O
0.751 0.001 0.250 O
0.751 0.501 0.750 O
0.914 0.159 0.245 O
0.914 0.669 0.755 O
0.921 0.169 0.753 O


Record 2
PBEsol ZnSiRh2, optimized geometry; energy relative to the elements, uncorrected = -0.524 eV/atom; DFT total energy = -25.70 eV per formula unit; SG = Imm2, No. 44; density of states at the Fermi level = 2.77 states/eV/cell
1.0
2.847 0.000 0.000
0.000 3.832 0.000
0.000 0.000 9.993
Zn Si Rh
2 2 4
Direct
0.000 0.000 0.000 Zn
0.500 0.500 0.500 Zn
0.000 0.500 0.738 Si
0.500 0.000 0.238 Si
0.000 0.000 0.422 Rh
0.000 0.500 0.182 Rh
0.500 0.000 0.682 Rh
0.500 0.500 0.922 Rh


Record 3
PBEsol NaTe3Pd, optimized geometry; energy relative to the elements, uncorrected = 0.936 eV/atom; DFT total energy = -13.26 eV per formula unit; SG = Pm-3m, No. 221; density of states at the Fermi level = 6.32 states/eV/cell
1.0
5.278 0.000 0.000
0.000 5.278 0.000
0.000 0.000 5.278
Na Te Pd
1 3 1
Direct
0.000 0.000 0.000 Na
0.000 0.000 0.500 Te
0.000 0.500 0.000 Te
0.500 0.000 0.000 Te
0.500 0.500 0.500 Pd